Material: Y2GaCo2
Method: DFT, PBE
State: optimized geometry

Summary:
total DFT energy (no corrections) = -63.484 eV per cell
DFT formation energy = -0.315 eV per atom

a = 6.8056 Å, b = 6.8056 Å, c = 4.0328 Å
α = 90.00°, β = 90.00°, γ = 90.00°
With the nearest neighbours (Å) after each atom.
Space group P4/mbm (No. 127)
Unique sites:
1 Y 0.1829 0.3171 0.0000 [4 per cell]  6 Co 2.79-2.90
2 Ga 0.0000 0.0000 0.5000 [2 per cell]  4 Co 2.73
3 Co 0.1168 0.6168 0.5000 [4 per cell]  1 Co 2.25

=====

Material: Al13Zn3
Method: DFT, PBE
State: optimized geometry

Summary:
total DFT energy (no corrections) = -103.863 eV per cell
DFT formation energy = 0.034 eV per atom

a = 8.0320 Å, b = 8.0530 Å, c = 8.0729 Å
α = 90.00°, β = 90.00°, γ = 90.00°
With the nearest neighbours (Å) after each atom.
Space group Amm2 (No. 38)
Unique sites:
1 Al 0.0000 0.0000 0.0000 [2 per cell]  10 Al 2.83-2.87, 2 Zn 2.84
2 Al 0.0000 0.0000 0.4976 [2 per cell]  10 Al 2.83-2.87, 2 Zn 2.84
3 Al 0.0000 0.2482 0.2490 [4 per cell]  10 Al 2.83-2.87, 2 Zn 2.83
4 Al 0.2463 0.0000 0.7488 [4 per cell]  11 Al 2.83-2.87, 1 Zn 2.86
5 Al 0.2482 0.2489 0.9985 [8 per cell]  9 Al 2.83-2.86, 3 Zn 2.84-2.86
6 Al 0.5000 0.0000 0.4982 [2 per cell]  10 Al 2.84-2.87, 2 Zn 2.85
7 Al 0.5000 0.2485 0.2485 [4 per cell]  4 Zn 2.83-2.86, 8 Al 2.84-2.87
8 Zn 0.2500 0.0000 0.2486 [4 per cell]  11 Al 2.83-2.86, 1 Zn 2.85
9 Zn 0.5000 0.0000 0.9978 [2 per cell]  10 Al 2.85-2.86, 2 Zn 2.85